Entry 1:
# V2HN

A geometry-optimized V2HN structure (PBE, Alexandria).

## Properties
Fermi-level density of states = 13.2 states/eV/cell
Size of the total moment = 0.00 μB/f.u.
Energy relative to the lowest polymorph listed for this composition = 0.383 eV/atom
Energy = -7.87 eV/atom

a = 4.3194 Å, b = 4.3194 Å, c = 8.4536 Å
α = 90.00°, β = 90.00°, γ = 90.00°
Last column: nearest neighbours and their distance in Å.
Space group I-42d (No. 122)
Symmetry-distinct sites (fractional):
V1 0.2403 0.2500 0.1250  2 H 1.83, 2 N 1.88
H1 0.0000 0.0000 0.0000  4 V 1.83
N1 0.0000 0.0000 0.5000  4 V 1.88

Entry 2:
# TmAgPdPt

A geometry-optimized TmAgPdPt structure (PBE, Alexandria).

## Properties
Fermi-level density of states = 0.9 states/eV/cell
Size of the total moment = 0.00 μB/f.u.
Energy relative to the lowest polymorph listed for this composition = 0.000 eV/atom
Energy = -5.45 eV/atom

a = 3.9631 Å, b = 4.1622 Å, c = 4.3301 Å
α = 90.00°, β = 90.00°, γ = 90.00°
Last column: nearest neighbours and their distance in Å.
Space group Pmmm (No. 47)
Symmetry-distinct sites (fractional):
Tm1 0.0000 0.0000 0.0000  4 Pt 2.87, 4 Pd 2.93, 4 Ag 3.00
Ag1 0.0000 0.5000 0.5000  4 Pd 2.87, 4 Pt 2.93, 4 Tm 3.00
Pd1 0.5000 0.0000 0.5000  4 Ag 2.87, 4 Tm 2.93, 4 Pt 3.00
Pt1 0.5000 0.5000 0.0000  4 Tm 2.87, 4 Ag 2.93, 4 Pd 3.00

Entry 3:
# SrBeGa2H

A geometry-optimized SrBeGa2H structure (PBE, Alexandria).

## Properties
Fermi-level density of states = 2.2 states/eV/cell
Size of the total moment = 0.00 μB/f.u.
Energy = -2.63 eV/atom

a = 4.7915 Å, b = 4.7915 Å, c = 3.9461 Å
α = 90.00°, β = 90.00°, γ = 90.00°
Last column: nearest neighbours and their distance in Å.
Space group P4/mmm (No. 123)
Symmetry-distinct sites (fractional):
Sr1 0.0000 0.0000 0.0000  8 Ga 3.10, 4 Be 3.39
Be1 0.5000 0.5000 0.0000  2 H 1.97
Ga1 0.0000 0.5000 0.5000  2 H 2.40
H1 0.5000 0.5000 0.5000  2 Be 1.97